Entry 1:
# PBE-GGA Al5SiOs6, optimized geometry
# Spin magnetization   0.00 μB per atom
# Uncorrected formation energy   -4.89 eV/f.u.
data_Al5SiOs6
_cell_length_a 4.235
_cell_length_b 6.041
_cell_length_c 6.695
_cell_angle_alpha 90.00
_cell_angle_beta 108.32
_cell_angle_gamma 90.00
_space_group_name_H-M_alt 'P 1 2/m 1'
_space_group_IT_number 10
loop_
_space_group_symop_operation_xyz
'x,y,z'
'-x,-y,-z'
'-x,y,-z'
'x,-y,z'
loop_
_atom_site_label
_atom_site_type_symbol
_atom_site_fract_x
_atom_site_fract_y
_atom_site_fract_z
_atom_site_occupancy
Al1 Al 0.000 0.000 0.000 1
Al2 Al 0.328 0.500 0.657 1
Al3 Al 0.334 0.000 0.667 1
Si1 Si 0.000 0.500 0.000 1
Os1 Os 0.163 0.252 0.326 1
Os2 Os 0.500 0.261 0.000 1

Entry 2:
# PBE-GGA B5C7, optimized geometry
# E_form   3.9 eV per formula unit
# Spin magnetization   0.00 μB per atom
# Excess energy over the best structure of this formula in the dataset   64.6 meV per atom
data_B5C7
_cell_length_a 8.588
_cell_length_b 2.488
_cell_length_c 8.350
_cell_angle_alpha 90.00
_cell_angle_beta 120.27
_cell_angle_gamma 90.00
_space_group_name_H-M_alt 'C 1 m 1'
_space_group_IT_number 8
loop_
_space_group_symop_operation_xyz
'x,y,z'
'x,-y,z'
'x+1/2,y+1/2,z'
'x+1/2,-y+1/2,z'
loop_
_atom_site_label
_atom_site_type_symbol
_atom_site_fract_x
_atom_site_fract_y
_atom_site_fract_z
_atom_site_occupancy
B1 B 0.000 0.000 0.000 1
B2 B 0.005 0.500 0.154 1
B3 B 0.210 0.000 0.973 1
B4 B 0.221 0.500 0.819 1
B5 B 0.388 0.000 0.656 1
C1 C 0.040 0.000 0.499 1
C2 C 0.048 0.500 0.608 1
C3 C 0.194 0.500 0.352 1
C4 C 0.197 0.000 0.457 1
C5 C 0.339 0.000 0.196 1
C6 C 0.348 0.500 0.305 1
C7 C 0.400 0.500 0.788 1

Entry 3:
# PBE-GGA V4Tc2Ru3, optimized geometry
# E_form   -2.2 eV per formula unit
# Spin magnetization   0.00 μB per atom
data_V4Tc2Ru3
_cell_length_a 4.2781
_cell_length_b 4.2781
_cell_length_c 7.8517
_cell_angle_alpha 90.00
_cell_angle_beta 90.00
_cell_angle_gamma 120.00
_space_group_name_H-M_alt 'P -3 m 1'
_space_group_IT_number 164
_space_group_name_Hall '-P 3 2"'
loop_
_atom_site_label
_atom_site_type_symbol
_atom_site_fract_x
_atom_site_fract_y
_atom_site_fract_z
_atom_site_occupancy
V1 V 0.0000 0.0000 0.1574 1
V2 V 0.3333 0.6667 0.3891 1
Tc1 Tc 0.3333 0.6667 0.7167 1
Ru1 Ru 0.0000 0.0000 0.5000 1
Ru2 Ru 0.3333 0.6667 0.0808 1

Entry 4:
# PBE-GGA HfOs2Ru2, optimized geometry
# E_form   0.0 eV per formula unit
# Spin magnetization   0.00 μB per atom
# Excess energy over the best structure of this formula in the dataset   14.3 meV per atom
data_HfOs2Ru2
_cell_length_a 7.492
_cell_length_b 7.492
_cell_length_c 2.803
_cell_angle_alpha 90.00
_cell_angle_beta 90.00
_cell_angle_gamma 90.00
_space_group_name_H-M_alt 'P 4/m b m'
_space_group_IT_number 127
_space_group_name_Hall '-P 4 2ab'
loop_
_atom_site_label
_atom_site_type_symbol
_atom_site_fract_x
_atom_site_fract_y
_atom_site_fract_z
_atom_site_occupancy
Hf1 Hf 0.000 0.000 0.000 1
Os1 Os 0.174 0.326 0.500 1
Ru1 Ru 0.122 0.622 0.000 1

Entry 5:
# PBE-GGA TlCoRuPt2, optimized geometry
# E_form   9.7 eV per formula unit
# Spin magnetization   0.98 μB per atom
data_TlCoRuPt2
_cell_length_a 4.983
_cell_length_b 4.983
_cell_length_c 4.706
_cell_angle_alpha 90.00
_cell_angle_beta 90.00
_cell_angle_gamma 90.00
_space_group_name_H-M_alt 'P 4/m m m'
_space_group_IT_number 123
_space_group_name_Hall '-P 4 2'
loop_
_atom_site_label
_atom_site_type_symbol
_atom_site_fract_x
_atom_site_fract_y
_atom_site_fract_z
_atom_site_occupancy
Tl1 Tl 0.000 0.000 0.000 1
Co1 Co 0.000 0.000 0.500 1
Ru1 Ru 0.500 0.500 0.500 1
Pt1 Pt 0.000 0.500 0.000 1

Entry 6:
# PBE-GGA Ac3NbAl2Ge9, optimized geometry
# E_form   -2.4 eV per formula unit
# Spin magnetization   0.00 μB per atom
data_Ac3NbAl2Ge9
_cell_length_a 7.8163
_cell_length_b 7.8163
_cell_length_c 7.1512
_cell_angle_alpha 90.00
_cell_angle_beta 90.00
_cell_angle_gamma 120.00
_space_group_name_H-M_alt 'P -3 m 1'
_space_group_IT_number 164
_space_group_name_Hall '-P 3 2"'
loop_
_atom_site_label
_atom_site_type_symbol
_atom_site_fract_x
_atom_site_fract_y
_atom_site_fract_z
_atom_site_occupancy
Ac1 Ac 0.0000 0.0000 0.0000 1
Ac2 Ac 0.3333 0.6667 0.6707 1
Nb1 Nb 0.0000 0.0000 0.5000 1
Al1 Al 0.3333 0.6667 0.1701 1
Ge1 Ge 0.0000 0.5000 0.0000 1
Ge2 Ge 0.1682 0.3363 0.3274 1